P:
Entry from Alexandria via LeMat-Bulk: a geometry-optimized CsPb3Se structure (PBE).

Cell: 6.3313 6.3313 6.3313 Å, 90.00 90.00 90.00°
Closest atoms and distances in Å follow each position.
Fractional coordinates of all 5 atoms:
Cs (0.0000, 0.0000, 0.0000)  6 Pb 3.17
Pb (0.0000, 0.0000, 0.5000)  2 Cs 3.17
Pb (0.0000, 0.5000, 0.0000)  2 Cs 3.17
Pb (0.5000, 0.0000, 0.0000)  2 Cs 3.17
Se (0.5000, 0.5000, 0.5000)  12 Pb 4.48

Computed properties:
**V**: 253.8 Å³/cell
**Spin magnetization**: 1.0 μB per formula unit

***

Q:
Entry from Alexandria via LeMat-Bulk: a geometry-optimized CsPb3Se structure (PBE).

Cell: 5.9132 5.9132 5.9132 Å, 90.00 90.00 90.00°
Closest atoms and distances in Å follow each position.
Fractional coordinates of all 5 atoms:
Cs (0.0000, 0.0000, 0.0000)  12 Pb 4.18
Pb (0.0000, 0.5000, 0.5000)  2 Se 2.96
Pb (0.5000, 0.0000, 0.5000)  2 Se 2.96
Pb (0.5000, 0.5000, 0.0000)  2 Se 2.96
Se (0.5000, 0.5000, 0.5000)  6 Pb 2.96

Computed properties:
**V**: 206.8 Å³/cell
**Spin magnetization**: 0.0 μB per formula unit

***

Q has the most favorable energy; the next structure is 127.8 kJ/mol of atoms above.

***

P:
Entry from Alexandria via LeMat-Bulk: a geometry-optimized CsSnPbSe2 structure (PBE).

Cell: 5.5382 5.5382 6.2896 Å, 90.00 90.00 90.00°
Closest atoms and distances in Å follow each position.
Fractional coordinates of all 5 atoms:
Cs (0.0000, 0.0000, 0.0000)  2 Sn 3.14
Sn (0.0000, 0.0000, 0.5000)  4 Se 2.77
Pb (0.5000, 0.5000, 0.0000)  4 Cs 3.92, 8 Se 4.19
Se (0.0000, 0.5000, 0.5000)  2 Sn 2.77
Se (0.5000, 0.0000, 0.5000)  2 Sn 2.77

Computed properties:
**V**: 192.9 Å³/cell
**Spin magnetization**: 0.0 μB per formula unit

***

Q:
Entry from Alexandria via LeMat-Bulk: a geometry-optimized CsSnPbSe2 structure (PBE).

Cell: 5.6959 5.6959 5.6978 Å, 90.00 90.00 90.00°
Closest atoms and distances in Å follow each position.
Fractional coordinates of all 5 atoms:
Cs (0.0000, 0.0000, 0.0000)  4 Pb 4.03, 8 Se 4.03
Sn (0.5000, 0.5000, 0.5000)  4 Se 2.85, 2 Pb 2.85
Pb (0.5000, 0.5000, 0.0000)  2 Sn 2.85
Se (0.0000, 0.5000, 0.5000)  2 Sn 2.85
Se (0.5000, 0.0000, 0.5000)  2 Sn 2.85

Computed properties:
**V**: 184.9 Å³/cell
**Spin magnetization**: 0.0 μB per formula unit

***

Q has the most favorable energy; the next structure is 36.2 kJ/mol of atoms above.

***

P:
Entry from Alexandria via LeMat-Bulk: a geometry-optimized Cs2SiPb structure (PBE).

Cell: 6.3917 6.3917 6.3917 Å, 60.00 60.00 60.00°
Closest atoms and distances in Å follow each position.
Fractional coordinates of all 4 atoms:
Cs (0.2500, 0.2500, 0.2500)  4 Pb 3.91, 4 Si 3.91
Cs (0.7500, 0.7500, 0.7500)  4 Si 3.91, 4 Pb 3.91
Si (0.0000, 0.0000, 0.0000)  8 Cs 3.91
Pb (0.5000, 0.5000, 0.5000)  8 Cs 3.91

Computed properties:
**V**: 184.6 Å³/cell
**Spin magnetization**: 0.0 μB per formula unit

***

Q:
Entry from Alexandria via LeMat-Bulk: a geometry-optimized Cs2SiPb structure (PBE).

Cell: 10.0202 10.0202 10.0202 Å, 94.45 94.45 147.65°
Closest atoms and distances in Å follow each position.
Fractional coordinates of all 8 atoms:
Cs (0.3750, 0.0551, 0.1801)  2 Si 3.60
Cs (0.8051, 0.6250, 0.6801)  2 Si 3.60
Cs (0.8750, 0.1949, 0.8199)  2 Si 3.60
Cs (0.9449, 0.1250, 0.3199)  2 Si 3.60
Si (0.0000, 0.0000, 0.0000)  2 Pb 2.79
Si (0.7500, 0.2500, 0.5000)  2 Pb 2.79
Pb (0.2500, 0.7500, 0.5000)  2 Si 2.79
Pb (0.5000, 0.5000, 0.0000)  2 Si 2.79

Computed properties:
**V**: 517.0 Å³/cell
**Spin magnetization**: 0.0 μB per formula unit

***

Q has the most favorable energy; the next structure is 28.6 kJ/mol of atoms above.

***

P:
Entry from Alexandria via LeMat-Bulk: a geometry-optimized CsSn2Pb3 structure (PBE).

Cell: 10.2384 10.2384 10.2384 Å, 153.97 106.32 79.66°
Closest atoms and distances in Å follow each position.
Fractional coordinates of all 12 atoms:
Cs (0.1311, 0.1311, 0.0000)  6 Sn 3.85-3.88, 2 Pb 3.87, 1 Cs 4.12
Cs (0.8689, 0.8689, 0.0000)  6 Sn 3.85-3.88, 2 Pb 3.87, 1 Cs 4.12
Sn (0.1870, 0.5000, 0.6870)  4 Pb 3.10-3.11
Sn (0.3298, 0.8298, 0.5000)  6 Pb 3.20-3.29
Sn (0.6702, 0.1702, 0.5000)  6 Pb 3.20-3.29
Sn (0.8130, 0.5000, 0.3130)  4 Pb 3.10-3.11
Pb (0.1364, 0.3272, 0.8092)  3 Sn 3.10-3.29
Pb (0.3564, 0.0000, 0.3564)  4 Sn 3.11-3.20
Pb (0.4819, 0.6728, 0.8092)  3 Sn 3.10-3.29
Pb (0.5181, 0.3272, 0.1908)  3 Sn 3.10-3.29
Pb (0.6436, 0.0000, 0.6436)  4 Sn 3.11-3.20
Pb (0.8636, 0.6728, 0.1908)  3 Sn 3.10-3.29

Computed properties:
**V**: 445.2 Å³/cell
**Spin magnetization**: 0.0 μB per formula unit

***

Q:
Entry from Alexandria via LeMat-Bulk: a geometry-optimized CsSn2Pb3 structure (PBE).

Cell: 8.6440 8.6440 6.3364 Å, 90.00 90.00 80.08°
Closest atoms and distances in Å follow each position.
Fractional coordinates of all 12 atoms:
Cs (0.1679, 0.8321, 0.7500)  9 Pb 4.16-4.41, 4 Sn 4.35
Cs (0.8321, 0.1679, 0.2500)  9 Pb 4.16-4.41, 4 Sn 4.35
Sn (0.2717, 0.2717, 0.0000)  2 Sn 3.17, 6 Pb 3.28-3.49
Sn (0.2717, 0.2717, 0.5000)  2 Sn 3.17, 6 Pb 3.28-3.49
Sn (0.7283, 0.7283, 0.0000)  2 Sn 3.17, 6 Pb 3.28-3.49
Sn (0.7283, 0.7283, 0.5000)  2 Sn 3.17, 6 Pb 3.28-3.49
Pb (0.0471, 0.5642, 0.2500)  4 Sn 3.28-3.31, 3 Pb 3.36-3.50
Pb (0.4357, 0.5643, 0.2500)  4 Pb 3.36-3.48, 4 Sn 3.49
Pb (0.4358, 0.9529, 0.2500)  4 Sn 3.28-3.31, 3 Pb 3.36-3.50
Pb (0.5642, 0.0471, 0.7500)  4 Sn 3.28-3.31, 3 Pb 3.36-3.50
Pb (0.5643, 0.4357, 0.7500)  4 Pb 3.36-3.48, 4 Sn 3.49
Pb (0.9529, 0.4358, 0.7500)  4 Sn 3.28-3.31, 3 Pb 3.36-3.50

Computed properties:
**V**: 466.4 Å³/cell
**Spin magnetization**: 0.0 μB per formula unit

***

Q has the most favorable energy; the next structure is 0.7 kJ/mol of atoms above.

***

P:
Entry from Alexandria via LeMat-Bulk: a geometry-optimized Cs3SnPb structure (PBE).

Cell: 8.9977 8.9977 9.5358 Å, 119.10 119.10 83.04°
Closest atoms and distances in Å follow each position.
Fractional coordinates of all 10 atoms:
Cs (0.0738, 0.0738, 0.3591)  1 Sn 3.73, 2 Pb 3.84-3.98
Cs (0.1110, 0.4727, 0.2470)  2 Pb 3.96-4.13, 2 Sn 4.12-4.22, 4 Cs 4.30-4.42
Cs (0.4727, 0.1110, 0.2470)  2 Pb 3.96-4.13, 2 Sn 4.12-4.22, 4 Cs 4.30-4.42
Cs (0.5273, 0.8890, 0.7530)  2 Pb 3.96-4.13, 2 Sn 4.12-4.22, 4 Cs 4.30-4.42
Cs (0.8890, 0.5273, 0.7530)  2 Pb 3.96-4.13, 2 Sn 4.12-4.22, 4 Cs 4.30-4.42
Cs (0.9262, 0.9262, 0.6409)  1 Sn 3.73, 2 Pb 3.84-3.98
Sn (0.4365, 0.4365, 0.7273)  2 Pb 3.01-3.02
Sn (0.5635, 0.5635, 0.2727)  2 Pb 3.01-3.02
Pb (0.3031, 0.3031, 0.8878)  2 Sn 3.01-3.02
Pb (0.6969, 0.6969, 0.1122)  2 Sn 3.01-3.02

Computed properties:
**V**: 582.6 Å³/cell
**Spin magnetization**: 0.0 μB per formula unit

***

Q:
Entry from Alexandria via LeMat-Bulk: a geometry-optimized Cs3SnPb structure (PBE).

Cell: 7.3111 7.3111 7.3111 Å, 90.00 90.00 90.00°
Closest atoms and distances in Å follow each position.
Fractional coordinates of all 5 atoms:
Cs (0.0000, 0.0000, 0.5000)  2 Pb 3.66
Cs (0.0000, 0.5000, 0.0000)  2 Pb 3.66
Cs (0.5000, 0.0000, 0.0000)  2 Pb 3.66
Sn (0.5000, 0.5000, 0.5000)  12 Cs 5.17
Pb (0.0000, 0.0000, 0.0000)  6 Cs 3.66

Computed properties:
**V**: 390.8 Å³/cell
**Spin magnetization**: 2.1 μB per formula unit

***

P has the most favorable energy; the next structure is 38.2 kJ/mol of atoms above.

***

P:
Entry from Alexandria via LeMat-Bulk: a geometry-optimized CsSnPb4 structure (PBE).

Cell: 6.7209 6.7209 6.7209 Å, 60.00 60.00 60.00°
Closest atoms and distances in Å follow each position.
Fractional coordinates of all 6 atoms:
Cs (0.0000, 0.0000, 0.0000)  12 Pb 3.94, 4 Sn 4.12
Sn (0.7500, 0.7500, 0.7500)  12 Pb 3.94, 4 Cs 4.12
Pb (0.3753, 0.3753, 0.3753)  6 Pb 3.35-3.37
Pb (0.3753, 0.3753, 0.8742)  6 Pb 3.35-3.37
Pb (0.3753, 0.8742, 0.3753)  6 Pb 3.35-3.37
Pb (0.8742, 0.3753, 0.3753)  6 Pb 3.35-3.37

Computed properties:
**V**: 214.7 Å³/cell
**Spin magnetization**: 0.0 μB per formula unit

***

Q:
Entry from Alexandria via LeMat-Bulk: a geometry-optimized CsSnPb4 structure (PBE).

Cell: 6.0503 9.1044 9.6544 Å, 118.08 107.52 90.11°
Closest atoms and distances in Å follow each position.
Fractional coordinates of all 12 atoms:
Cs (0.2495, 0.3171, 0.9998)  12 Pb 3.94-4.38, 2 Sn 4.05
Cs (0.7505, 0.6829, 0.0002)  12 Pb 3.94-4.38, 2 Sn 4.05
Sn (0.0000, 0.0000, 0.5000)  8 Pb 3.38-3.61
Sn (0.5000, 0.5000, 0.5000)  8 Pb 3.39-3.60
Pb (0.0560, 0.4174, 0.6261)  5 Pb 3.20-3.58, 3 Sn 3.38-3.48
Pb (0.1557, 0.8193, 0.7711)  4 Pb 3.20-3.25
Pb (0.3445, 0.0495, 0.2299)  4 Pb 3.20-3.25
Pb (0.4438, 0.7914, 0.3732)  5 Pb 3.20-3.58, 3 Sn 3.39-3.48
Pb (0.5562, 0.2086, 0.6268)  5 Pb 3.20-3.58, 3 Sn 3.39-3.48
Pb (0.6555, 0.9505, 0.7701)  4 Pb 3.20-3.25
Pb (0.8443, 0.1807, 0.2289)  4 Pb 3.20-3.25
Pb (0.9440, 0.5826, 0.3739)  5 Pb 3.20-3.58, 3 Sn 3.38-3.48

Computed properties:
**V**: 440.9 Å³/cell
**Spin magnetization**: 0.0 μB per formula unit

***

Q has the most favorable energy; the next structure is 11.3 kJ/mol of atoms above.

***

P:
Entry from Alexandria via LeMat-Bulk: a geometry-optimized Cs2SnPb2 structure (PBE).

Cell: 11.3096 11.3096 3.5273 Å, 90.00 90.00 90.00°
Closest atoms and distances in Å follow each position.
Fractional coordinates of all 10 atoms:
Cs (0.2029, 0.2971, 0.0000)  2 Cs 3.53, 2 Pb 3.69
Cs (0.2971, 0.7971, 0.0000)  2 Cs 3.53, 2 Pb 3.69
Cs (0.7029, 0.2029, 0.0000)  2 Cs 3.53, 2 Pb 3.69
Cs (0.7971, 0.7029, 0.0000)  2 Cs 3.53, 2 Pb 3.69
Sn (0.0000, 0.0000, 0.5000)  2 Sn 3.53
Sn (0.5000, 0.5000, 0.5000)  2 Sn 3.53
Pb (0.0941, 0.5941, 0.5000)  1 Pb 3.01
Pb (0.4059, 0.0941, 0.5000)  1 Pb 3.01
Pb (0.5941, 0.9059, 0.5000)  1 Pb 3.01
Pb (0.9059, 0.4059, 0.5000)  1 Pb 3.01

Computed properties:
**V**: 451.2 Å³/cell
**Spin magnetization**: 0.0 μB per formula unit

***

Q:
Entry from Alexandria via LeMat-Bulk: a geometry-optimized Cs2SnPb2 structure (PBE).

Cell: 7.8610 7.8610 13.1755 Å, 118.68 118.68 40.95°
Closest atoms and distances in Å follow each position.
Fractional coordinates of all 10 atoms:
Cs (0.0084, 0.0084, 0.1674)  5 Pb 3.97-4.20, 4 Sn 4.12-4.43, 1 Cs 4.29
Cs (0.2011, 0.2011, 0.6135)  6 Pb 3.79-4.24, 2 Sn 3.99
Cs (0.7989, 0.7989, 0.3865)  6 Pb 3.79-4.24, 2 Sn 3.99
Cs (0.9916, 0.9916, 0.8326)  5 Pb 3.97-4.20, 4 Sn 4.12-4.43, 1 Cs 4.29
Sn (0.3000, 0.3000, 0.1680)  4 Pb 3.05-3.17
Sn (0.7000, 0.7000, 0.8320)  4 Pb 3.05-3.17
Pb (0.3149, 0.3149, 0.9446)  3 Sn 3.06-3.17
Pb (0.4848, 0.4848, 0.6051)  1 Pb 3.02, 1 Sn 3.05
Pb (0.5152, 0.5152, 0.3949)  1 Pb 3.02, 1 Sn 3.05
Pb (0.6851, 0.6851, 0.0554)  3 Sn 3.06-3.17

Computed properties:
**V**: 458.3 Å³/cell
**Spin magnetization**: 0.0 μB per formula unit

***

R:
Entry from Alexandria via LeMat-Bulk: a geometry-optimized Cs2SnPb2 structure (PBE).

Cell: 7.5961 7.5961 9.2636 Å, 90.00 90.00 71.72°
Closest atoms and distances in Å follow each position.
Fractional coordinates of all 10 atoms:
Cs (0.2007, 0.2007, 0.0000)  4 Pb 3.98-4.03
Cs (0.2007, 0.2007, 0.5000)  4 Pb 3.98-4.03
Cs (0.7993, 0.7993, 0.0000)  4 Pb 3.98-4.03
Cs (0.7993, 0.7993, 0.5000)  4 Pb 3.98-4.03
Sn (0.3429, 0.6571, 0.7500)  4 Pb 3.08-3.23
Sn (0.6571, 0.3429, 0.2500)  4 Pb 3.08-3.23
Pb (0.3392, 0.6608, 0.0827)  2 Sn 3.08-3.23, 2 Pb 3.10-3.25
Pb (0.3392, 0.6608, 0.4173)  2 Sn 3.08-3.23, 2 Pb 3.10-3.25
Pb (0.6608, 0.3392, 0.5827)  2 Sn 3.08-3.23, 2 Pb 3.10-3.25
Pb (0.6608, 0.3392, 0.9173)  2 Sn 3.08-3.23, 2 Pb 3.10-3.25

Computed properties:
**V**: 507.5 Å³/cell
**Spin magnetization**: 0.0 μB per formula unit

***

Q has the most favorable energy; the next structure is 6.4 kJ/mol of atoms above.

***

P:
Entry from Alexandria via LeMat-Bulk: a geometry-optimized CsSnPb structure (PBE).

Cell: 4.5927 7.8160 8.9902 Å, 71.55 89.55 73.01°
Closest atoms and distances in Å follow each position.
Fractional coordinates of all 6 atoms:
Cs (0.0925, 0.3088, 0.2579)  4 Sn 3.95-4.30, 4 Pb 4.08-4.10
Cs (0.9075, 0.6912, 0.7421)  4 Sn 3.95-4.30, 4 Pb 4.08-4.10
Sn (0.3414, 0.8164, 0.0515)  3 Pb 3.05-3.06
Sn (0.6586, 0.1836, 0.9485)  3 Pb 3.05-3.06
Pb (0.1817, 0.1435, 0.7385)  3 Sn 3.05-3.06
Pb (0.8183, 0.8565, 0.2615)  3 Sn 3.05-3.06

Computed properties:
**V**: 291.5 Å³/cell
**Spin magnetization**: 0.0 μB per formula unit

***

Q:
Entry from Alexandria via LeMat-Bulk: a geometry-optimized CsSnPb structure (PBE).

Cell: 4.8974 4.8974 6.4870 Å, 90.00 90.00 120.00°
Closest atoms and distances in Å follow each position.
Fractional coordinates of all 3 atoms:
Cs (0.0000, 0.0000, 0.0000)  3 Sn 3.92, 3 Pb 3.96
Sn (0.3333, 0.6667, 0.4185)  3 Pb 3.00
Pb (0.6667, 0.3333, 0.5737)  3 Sn 3.00

Computed properties:
**V**: 134.7 Å³/cell
**Spin magnetization**: 0.0 μB per formula unit

***

P has the most favorable energy; the next structure is 1.5 kJ/mol of atoms above.